ThFeB2Rh5 | Alexandria | PBE-GGA | optimized geometry; formation energy from the elements = -0.297 eV per atom; spin magnetization = 3.656 Bohr magnetons per cell; N(E_F) = 0.69 states/eV per atom; density = 9.83 Mg/m³; uncorrected energy = -68.67 eV/cell
1.0
-0.326 3.796 1.726
-3.103 0.936 -2.644
-5.299 -2.827 5.217
Rh Fe Th B
5 1 1 2
Direct
0.000 0.500 0.790
0.000 0.000 0.500
0.500 0.000 0.210
0.000 0.500 0.210
0.500 0.000 0.790
0.000 0.000 0.000
0.500 0.500 0.500
0.000 0.000 0.244
0.000 0.000 0.756